Entry 1:
## FeMoBr2 (PBE)

Data for a relaxed structure of FeMoBr2.

Cell: 15.271 3.285 3.737 Å, 90.00 94.62 90.00°
Space group C2/m (No. 12)
Unique sites:
Fe (0.000, 0.000, 0.000) x2
Mo (0.000, 0.500, 0.500) x2
Br (0.135, 0.000, 0.712) x4

## Properties
Polymorph energy (0 for the lowest one), eV per atom: 0.244
Energy, eV per atom: -5.368

***

Entry 2:
## Fe2MoBr8 (PBE)

Data for a relaxed structure of Fe2MoBr8.

Cell: 13.428 9.401 6.314 Å, 90.00 90.43 90.00°
Space group C2/m (No. 12)
Unique sites:
Fe (0.170, 0.000, 0.122) x4
Mo (0.000, 0.000, 0.500) x2
Br (0.080, 0.200, 0.269) x8
Br (0.164, 0.000, 0.737) x4
Br (0.164, 0.500, 0.787) x4

## Properties
Energy, eV per atom: -4.188

***

Entry 3:
## FeMoBr2 (PBE)

Data for a relaxed structure of FeMoBr2.

Cell: 3.1765 3.1765 24.2230 Å, 90.00 90.00 120.00°
Space group R-3m (No. 166, hexagonal axes)
Unique sites:
Fe (0.0000, 0.0000, 0.0000) x3
Mo (0.0000, 0.0000, 0.5000) x3
Br (0.0000, 0.0000, 0.2501) x6

## Properties
Polymorph energy (0 for the lowest one), eV per atom: 0.639
Energy, eV per atom: -4.972

***

Entry 4:
## Fe3MoBr9 (PBE)

Data for a relaxed structure of Fe3MoBr9.

Cell: 17.877 9.388 13.070 Å, 90.00 128.06 90.00°
Space group Cc (No. 9)
Unique sites:
Fe (0.000, 0.049, 0.000) x4
Fe (0.136, 0.426, 0.951) x4
Fe (0.395, 0.119, 0.594) x4
Mo (0.266, 0.223, 0.776) x4
Br (0.028, 0.229, 0.892) x4
Br (0.061, 0.388, 0.285) x4
Br (0.122, 0.058, 0.711) x4
Br (0.163, 0.446, 0.636) x4
Br (0.257, 0.097, 0.589) x4
Br (0.271, 0.311, 0.974) x4
Br (0.376, 0.356, 0.505) x4
Br (0.388, 0.028, 0.934) x4
Br (0.415, 0.364, 0.834) x4

## Properties
Energy, eV per atom: -4.288